No. 1
First-principles (PBE) data for an optimized crystal structure of YZnCuTc, as listed in the Open Quantum Materials Database.

Computed properties:
**Energy relative to the lowest polymorph listed for this composition**: 0.0 meV per atom
**ΔH_f (0 K)**: 0.21 eV per atom
**Crystal system**: cubic

Unit cell a=4.594 b=4.594 c=4.594 alpha=60.00 beta=60.00 gamma=60.00
Fractional positions:
1 Cu 0.750 0.750 0.750
2 Tc 0.250 0.250 0.250
3 Y 0.500 0.500 0.500
4 Zn 0.000 0.000 0.000

---

No. 2
First-principles (PBE) data for an optimized crystal structure of CsSrNp, as listed in the Open Quantum Materials Database.

Computed properties:
**Energy relative to the lowest polymorph listed for this composition**: 0.0 meV per atom
**Crystal system**: cubic

Unit cell a=6.516 b=6.516 c=6.516 alpha=60.00 beta=60.00 gamma=60.00
Site moments in Bohr magnetons follow the coordinates.
Fractional positions:
1 Cs 0.750 0.750 0.750  0.05
2 Np 0.250 0.250 0.250  4.76
3 Sr 0.000 0.000 0.000  0.14

---

No. 3
First-principles (PBE) data for an optimized crystal structure of Cu2Ag3, as listed in the Open Quantum Materials Database.

Computed properties:
**Energy relative to the lowest polymorph listed for this composition**: 62.5 meV per atom
**ΔH_f (0 K)**: 0.09 eV per atom
**Crystal system**: triclinic

Unit cell a=4.859 b=4.884 c=7.351 alpha=107.47 beta=103.05 gamma=100.67
Fractional positions:
1 Ag 0.082 0.695 0.193
2 Ag 0.392 0.300 0.288
3 Ag 0.701 0.906 0.393
4 Ag 0.299 0.094 0.607
5 Ag 0.608 0.700 0.712
6 Ag 0.918 0.305 0.807
7 Cu 0.500 0.500 0.000
8 Cu 0.784 0.098 0.095
9 Cu 0.000 0.500 0.500
10 Cu 0.216 0.902 0.905